Material: InAs3
Method: DFT, SCAN
State: single point on PBEsol structure

Its crystal system is cubic. For the raw total energy, the calculation gives -183.8 eV for the cell shown. Its energy relative to the elements is 0.52 eV per atom.

It has space group Pm-3n (No. 223), with a = 5.448 Å, b = 5.448 Å, c = 5.448 Å, α = 90.00°, β = 90.00° and γ = 90.00°. The inequivalent atoms are In at (0.000, 0.000, 0.000) and As at (0.000, 0.250, 0.500).

Material: InAs
Method: DFT, SCAN
State: single point on PBEsol structure

Its crystal system is hexagonal. For the raw total energy, the calculation gives -108.3 eV for the cell shown. Its energy relative to the elements is -0.30 eV per atom.

It has space group P6_3mc (No. 186), with a = 4.2902 Å, b = 4.2902 Å, c = 7.0553 Å, α = 90.00°, β = 90.00° and γ = 120.00°. The inequivalent atoms are In at (0.3333, 0.6667, 0.0000) and As at (0.3333, 0.6667, 0.3742).

Material: InAsIr2
Method: DFT, SCAN
State: single point on PBEsol structure

Its crystal system is tetragonal. For the raw total energy, the calculation gives -195.1 eV for the cell shown. Its energy relative to the elements is 0.18 eV per atom. The polymorph energy (0 for the lowest one) is 0.073 eV/atom.

It has space group P4/mmm (No. 123), with a = 4.234 Å, b = 4.234 Å, c = 3.541 Å, α = 90.00°, β = 90.00° and γ = 90.00°. The inequivalent atoms are In at (0.000, 0.000, 0.000), As at (0.500, 0.500, 0.000) and Ir at (0.000, 0.500, 0.500).